No. 1
Compound: NaZrTlSe3
Source: OQMD
Functional: PBE
Structure: optimized geometry

a = 8.055 Å, b = 3.982 Å, c = 10.661 Å
α = 90.00°, β = 104.27°, γ = 90.00°
Space group P2_1/m (No. 11)
Asymmetric unit:
Na (0.023, 0.250, 0.117) x2
Zr (0.308, 0.750, 0.357) x2
Tl (0.327, 0.250, 0.820) x2
Se (0.101, 0.250, 0.383) x2
Se (0.273, 0.750, 0.101) x2
Se (0.438, 0.750, 0.624) x2

**Offset from the most stable computed form**: 0.10 eV/f.u.
**Uncorrected energy**: -4.753 eV per atom
**Total magnetization**: 0.0 μB/cell

---

No. 2
Compound: NaZrTlSe3
Source: OQMD
Functional: PBE
Structure: optimized geometry

a = 14.388 Å, b = 3.986 Å, c = 11.865 Å
α = 90.00°, β = 90.00°, γ = 90.00°
Space group Pnma (No. 62)
Asymmetric unit:
Na (0.052, 0.250, 0.086) x4
Zr (0.011, 0.750, 0.350) x4
Tl (0.226, 0.750, 0.972) x4
Se (0.080, 0.250, 0.843) x4
Se (0.099, 0.750, 0.562) x4
Se (0.133, 0.250, 0.295) x4

**Offset from the most stable computed form**: 0.00 eV/f.u.
**Uncorrected energy**: -4.770 eV per atom
**Total magnetization**: 0.0 μB/cell

---

No. 3
Compound: NaZrTlSe3
Source: OQMD
Functional: PBE
Structure: optimized geometry

a = 3.893 Å, b = 14.844 Å, c = 11.389 Å
α = 90.00°, β = 90.00°, γ = 90.00°
Space group Cmcm (No. 63)
Asymmetric unit:
Na (0.000, 0.114, 0.250) x4
Zr (0.000, 0.500, 0.000) x4
Tl (0.000, 0.184, 0.750) x4
Se (0.000, 0.127, 0.012) x8
Se (0.000, 0.471, 0.250) x4

**Offset from the most stable computed form**: 0.07 eV/f.u.
**Uncorrected energy**: -4.758 eV per atom
**Total magnetization**: 0.0 μB/cell

---

No. 4
Compound: NaYTmSe3
Source: OQMD
Functional: PBE
Structure: optimized geometry

a = 4.243 Å, b = 14.248 Å, c = 11.290 Å
α = 90.00°, β = 90.00°, γ = 90.00°
Space group Cmcm (No. 63)
Asymmetric unit:
Na (0.000, 0.234, 0.250) x4
Y (0.000, 0.041, 0.750) x4
Tm (0.000, 0.500, 0.000) x4
Se (0.000, 0.134, 0.542) x8
Se (0.000, 0.419, 0.750) x4

**Offset from the most stable computed form**: 0.20 eV/f.u.
**Uncorrected energy**: -5.176 eV per atom
**Total magnetization**: 2.7 μB/cell

---

No. 5
Compound: NaYTmSe3
Source: OQMD
Functional: PBE
Structure: optimized geometry

a = 4.258 Å, b = 14.119 Å, c = 11.352 Å
α = 90.00°, β = 90.00°, γ = 90.00°
Space group Cmcm (No. 63)
Asymmetric unit:
Na (0.000, 0.240, 0.250) x4
Y (0.000, 0.500, 0.000) x4
Tm (0.000, 0.035, 0.750) x4
Se (0.000, 0.137, 0.554) x8
Se (0.000, 0.418, 0.750) x4

**Offset from the most stable computed form**: 0.00 eV/f.u.
**Uncorrected energy**: -5.209 eV per atom
**Total magnetization**: 0.1 μB/cell

---

No. 6
Compound: NaTmZnSe3
Source: OQMD
Functional: PBE
Structure: optimized geometry

a = 8.244 Å, b = 4.152 Å, c = 16.391 Å
α = 90.00°, β = 90.00°, γ = 90.00°
Space group Pnma (No. 62)
Asymmetric unit:
Na (0.065, 0.250, 0.220) x4
Tm (0.241, 0.250, 0.954) x4
Zn (0.127, 0.250, 0.646) x4
Se (0.000, 0.250, 0.416) x4
Se (0.126, 0.750, 0.055) x4
Se (0.201, 0.250, 0.787) x4

**Offset from the most stable computed form**: 0.66 eV/f.u.
**Uncorrected energy**: -4.121 eV per atom
**Total magnetization**: 0.0 μB/cell

---

No. 7
Compound: NaTmZnSe3
Source: OQMD
Functional: PBE
Structure: optimized geometry

a = 8.264 Å, b = 4.039 Å, c = 9.692 Å
α = 90.00°, β = 105.20°, γ = 90.00°
Space group P2_1/m (No. 11)
Asymmetric unit:
Na (0.205, 0.250, 0.219) x2
Tm (0.326, 0.750, 0.855) x2
Zn (0.083, 0.250, 0.602) x2
Se (0.084, 0.250, 0.854) x2
Se (0.228, 0.750, 0.537) x2
Se (0.441, 0.750, 0.155) x2

**Offset from the most stable computed form**: 0.03 eV/f.u.
**Uncorrected energy**: -4.225 eV per atom
**Total magnetization**: 0.0 μB/cell

---

No. 8
Compound: NaTmZnSe3
Source: OQMD
Functional: PBE
Structure: optimized geometry

a = 10.841 Å, b = 4.021 Å, c = 13.660 Å
α = 90.00°, β = 90.00°, γ = 90.00°
Space group Pnma (No. 62)
Asymmetric unit:
Na (0.219, 0.250, 0.006) x4
Tm (0.016, 0.750, 0.742) x4
Zn (0.235, 0.750, 0.218) x4
Se (0.047, 0.750, 0.120) x4
Se (0.086, 0.250, 0.609) x4
Se (0.236, 0.250, 0.330) x4

**Offset from the most stable computed form**: 0.00 eV/f.u.
**Uncorrected energy**: -4.230 eV per atom
**Total magnetization**: 0.0 μB/cell